Entry 1:
Here is a relaxed structure of BaNdTlZn from Alexandria via LeMat-Bulk. Energies are from GGA-PBE.

- ΔH_f (0 K) (eV per atom) = -0.204
- mass density (g/cm3) = 7.12
- total DFT energy (no corrections) (hartree per atom) = -0.10241

Unit cell a=5.667 b=5.667 c=5.667 alpha=60.00 beta=60.00 gamma=60.00
Fractional coordinates of all 4 atoms:
Ba 0.000 0.000 0.000
Nd 0.500 0.500 0.500
Tl 0.250 0.250 0.250
Zn 0.750 0.750 0.750

Entry 2:
Here is a relaxed structure of BaNd2Tm from Alexandria via LeMat-Bulk. Energies are from GGA-PBE.

- ΔH_f (0 K) (eV per atom) = 0.200
- mass density (g/cm3) = 6.49
- relative energy among the computed polymorphs (meV per atom) = 81
- total DFT energy (no corrections) (hartree per atom) = -0.13900

Unit cell a=13.246 b=13.246 c=13.246 alpha=15.91 beta=15.91 gamma=15.91
Fractional coordinates of all 4 atoms:
Ba 0.000 0.000 0.000
Nd 0.094 0.094 0.094
Nd 0.906 0.906 0.906
Tm 0.500 0.500 0.500